! Sm2Dy2NCl5 | the Open Quantum Materials Database | PBE-GGA | relaxed; values from VASP
&SYSTEM
  ibrav = 0, nat = 10, ntyp = 4
/
ATOMIC_SPECIES
Sm 150.36 Sm.upf
Dy 162.50 Dy.upf
N 14.01 N.upf
Cl 35.45 Cl.upf
CELL_PARAMETERS angstrom
8.504 -1.834 0.000
8.504 1.834 0.000
-1.971 0.000 7.495
ATOMIC_POSITIONS angstrom
Sm 2.318 0.000 0.636
Sm 12.718 0.000 6.860
Dy 8.075 0.000 1.559
Dy 6.961 0.000 5.937
N 0.000 0.000 0.000
Cl -0.986 0.000 3.748
Cl 5.295 0.000 1.321
Cl 4.505 0.000 4.804
Cl 10.531 0.000 2.692
Cl 9.741 0.000 6.175
! Spin magnetization (μB/f.u.): 0.00
! ρ (g/cm³): 5.80
! Uncorrected energy (eV for the cell shown): -54.87